First-principles (PBE) data for BeAl2Au after structural relaxation, as listed in the Alexandria database.

Lattice parameters (Å, degrees): 7.231 7.231 5.706 50.68 50.68 90.00
Fractional coordinates of all 8 atoms:
Au: 0.000 0.000 0.000
Al: 0.875 0.856 0.750
Al: 0.375 0.394 0.750
Be: 0.250 0.750 0.500
Al: 0.606 0.125 0.250
Al: 0.144 0.625 0.250
Be: 0.500 0.500 0.000
Au: 0.750 0.250 0.500

First-principles (PBE) data for BeAl2Au after structural relaxation, as listed in the Alexandria database.

Lattice parameters (Å, degrees): 4.666 5.423 3.133 68.48 100.45 118.86
Fractional coordinates of all 4 atoms:
Al: 0.500 0.000 0.500
Au: 0.000 0.500 0.500
Al: 0.000 0.000 0.000
Be: 0.500 0.500 0.000

First-principles (PBE) data for BeAl2Au after structural relaxation, as listed in the Alexandria database.

Lattice parameters (Å, degrees): 4.451 4.451 3.258 90.00 90.00 110.01
Fractional coordinates of all 4 atoms:
Be: 0.000 0.500 0.500
Al: 0.000 0.000 0.000
Au: 0.500 0.000 0.500
Al: 0.500 0.500 0.000

no.,M_tot (μB per cell),DFT formation energy (eV per atom)
1,0.00,0.255
2,0.00,0.064
3,0.00,-0.015